Record 1
Al3W: optimized geometry, PBE.

a = 2.864 Å, b = 2.864 Å, c = 9.049 Å
α = 90.00°, β = 90.00°, γ = 120.00°
Sites, in units of the cell vectors:
Al1 0.000 0.000 0.992
Al2 0.000 0.000 0.508
Al3 0.667 0.333 0.250
W1 0.667 0.333 0.750

Crystal system = hexagonal
SG = P-6m2
Energy of formation from the pure elements = 0.067 eV per atom
Fermi-level density of states = 2.29 states/eV/cell

Record 2
Al2W: optimized geometry, PBE.

a = 4.516 Å, b = 4.516 Å, c = 5.205 Å
α = 90.00°, β = 90.00°, γ = 120.00°
Sites, in units of the cell vectors:
Al1 0.000 0.000 0.000
Al2 0.000 0.000 0.500
Al3 0.333 0.667 0.250
Al4 0.667 0.333 0.750
W1 0.667 0.333 0.250
W2 0.333 0.667 0.750

Crystal system = hexagonal
SG = P6_3/mmc
Energy of formation from the pure elements = 0.235 eV per atom
Fermi-level density of states = 3.99 states/eV/cell

Record 3
AlW: optimized geometry, PBE.

a = 7.168 Å, b = 7.168 Å, c = 7.168 Å
α = 90.00°, β = 90.00°, γ = 90.00°
Site moments in Bohr magnetons follow the coordinates.
Sites, in units of the cell vectors:
Al1 0.250 0.000 0.500  0.01
Al2 0.750 0.000 0.500  0.01
Al3 0.000 0.500 0.250  0.01
Al4 0.000 0.500 0.750  0.01
Al5 0.500 0.250 0.000  0.01
Al6 0.500 0.750 0.000  0.01
W1 0.250 0.500 0.000  1.33
W2 0.750 0.500 0.000  1.33
W3 0.500 0.000 0.250  1.33
W4 0.500 0.000 0.750  1.33
W5 0.000 0.250 0.500  1.33
W6 0.000 0.750 0.500  1.33

Crystal system = cubic
SG = Pm-3n
Energy of formation from the pure elements = 2.501 eV per atom
Fermi-level density of states = 12.57 states/eV/cell

Record 4
Al3W: optimized geometry, PBE.

a = 4.955 Å, b = 4.955 Å, c = 4.955 Å
α = 90.00°, β = 90.00°, γ = 90.00°
Sites, in units of the cell vectors:
Al1 0.500 0.000 0.000
Al2 0.000 0.500 0.000
Al3 0.000 0.000 0.500
W1 0.000 0.000 0.000

Crystal system = cubic
SG = Pm-3m
Energy of formation from the pure elements = 0.984 eV per atom
Fermi-level density of states = 2.87 states/eV/cell

Record 5
AlW: optimized geometry, PBE.

a = 5.485 Å, b = 5.485 Å, c = 4.465 Å
α = 90.00°, β = 90.00°, γ = 151.24°
Sites, in units of the cell vectors:
Al1 0.824 0.176 0.750
Al2 0.176 0.824 0.250
W1 0.566 0.434 0.750
W2 0.434 0.566 0.250

Crystal system = orthorhombic
SG = Cmcm
Energy of formation from the pure elements = 0.238 eV per atom
Fermi-level density of states = 2.13 states/eV/cell

Record 6
AlW: optimized geometry, PBE.

a = 2.746 Å, b = 2.746 Å, c = 8.861 Å
α = 90.00°, β = 90.00°, γ = 107.50°
Sites, in units of the cell vectors:
Al1 0.000 0.000 0.007
Al2 0.500 0.500 0.743
W1 0.000 0.000 0.501
W2 0.500 0.500 0.249

Crystal system = orthorhombic
SG = Cmme
Energy of formation from the pure elements = 0.083 eV per atom
Fermi-level density of states = 2.16 states/eV/cell

Record 7
AlW: optimized geometry, PBE.

a = 5.148 Å, b = 5.148 Å, c = 5.106 Å
α = 90.00°, β = 90.00°, γ = 90.00°
Sites, in units of the cell vectors:
Al1 0.188 0.812 0.000
Al2 0.688 0.688 0.500
Al3 0.312 0.312 0.500
Al4 0.812 0.188 0.000
W1 0.314 0.314 0.000
W2 0.814 0.186 0.500
W3 0.186 0.814 0.500
W4 0.686 0.686 0.000

Crystal system = tetragonal
SG = P4_2/mnm
Energy of formation from the pure elements = 0.849 eV per atom
Fermi-level density of states = 4.84 states/eV/cell

Record 8
Al3W: optimized geometry, PBE.

a = 5.292 Å, b = 5.292 Å, c = 5.292 Å
α = 148.72°, β = 125.75°, γ = 63.97°
Sites, in units of the cell vectors:
Al1 0.746 0.745 0.001
Al2 0.256 0.255 0.001
Al3 0.160 0.500 0.660
W1 0.671 0.000 0.671

Crystal system = orthorhombic
SG = Imm2
Energy of formation from the pure elements = -0.084 eV per atom
Fermi-level density of states = 2.05 states/eV/cell

Record 9
Al2W: optimized geometry, PBE.

a = 4.609 Å, b = 4.609 Å, c = 2.735 Å
α = 90.00°, β = 90.00°, γ = 90.00°
Sites, in units of the cell vectors:
Al1 0.000 0.500 0.000
Al2 0.500 0.000 0.000
W1 0.000 0.000 0.500

Crystal system = tetragonal
SG = P4/mmm
Energy of formation from the pure elements = 0.025 eV per atom
Fermi-level density of states = 1.05 states/eV/cell

Record 10
Al2W3: optimized geometry, PBE.

a = 11.705 Å, b = 11.705 Å, c = 11.705 Å
α = 13.81°, β = 13.81°, γ = 13.81°
Sites, in units of the cell vectors:
Al1 0.399 0.399 0.399
Al2 0.601 0.601 0.601
W1 0.000 0.000 0.000
W2 0.798 0.798 0.798
W3 0.202 0.202 0.202

Crystal system = trigonal
SG = R-3m
Energy of formation from the pure elements = 0.181 eV per atom
ΔE to the lowest computed polymorph = 37.1 meV per atom
Fermi-level density of states = 4.85 states/eV/cell

Record 11
AlW2: optimized geometry, PBE.

a = 10.167 Å, b = 10.167 Å, c = 10.167 Å
α = 154.92°, β = 154.92°, γ = 35.76°
Sites, in units of the cell vectors:
Al1 0.084 0.084 0.000
Al2 0.916 0.916 0.000
Al3 0.834 0.334 0.500
Al4 0.666 0.166 0.500
W1 0.249 0.249 0.000
W2 0.751 0.751 0.000
W3 0.999 0.499 0.500
W4 0.501 0.001 0.500
W5 0.419 0.419 0.000
W6 0.581 0.581 0.000
W7 0.169 0.669 0.500
W8 0.331 0.831 0.500

Crystal system = tetragonal
SG = I4_1/amd
Energy of formation from the pure elements = 0.081 eV per atom
Fermi-level density of states = 7.56 states/eV/cell

Record 12
AlW: optimized geometry, PBE.

a = 4.109 Å, b = 4.109 Å, c = 4.109 Å
α = 60.00°, β = 60.00°, γ = 60.00°
Site moments in Bohr magnetons follow the coordinates.
Sites, in units of the cell vectors:
Al1 0.000 0.000 0.000  0.00
W1 0.750 0.750 0.750  0.25

Crystal system = cubic
SG = F-43m
Energy of formation from the pure elements = 2.422 eV per atom
Fermi-level density of states = 3.67 states/eV/cell